CoBiN2O (GGA+U, optimized geometry); size of the total moment = 3.8 μB per formula unit; space-group type = No. 123; ρ = 6.69 g/cm3; electronic total energy = -4.6334 eV/atom
1.0
4.295 0.000 0.000
0.000 4.295 0.000
0.000 0.000 4.197
Bi N O Co
1 2 1 1
Direct
0.000 0.000 0.000 Bi
0.500 0.000 0.000 N
0.000 0.500 0.000 N
0.000 0.000 0.500 O
0.500 0.500 0.500 Co